DFT (PBE-GGA) results for Tl2HgI2 after structural relaxation.

The space group is Pnma (No. 62) and the conventional cell measures 10.5645, 6.9398 and 12.2529 Å, with angles of 90.00, 90.00 and 90.00 degrees. The inequivalent atoms are Tl at (0.0534, 0.2500, 0.1295), Tl at (0.1137, 0.2500, 0.6175), Hg at (0.2323, 0.2500, 0.3632), I at (0.0453, 0.7500, 0.1376) and I at (0.1328, 0.7500, 0.5708).

The calculation puts the total moment at 0.0000 μB/atom. Its theoretical density is 6.38 g cm⁻³. The uncorrected formation energy is -480 meV/atom. As for the volume: 44.916 Å³/atom.



DFT (PBE-GGA) results for YZnCu after structural relaxation.

The space group is C2/m (No. 12) and the conventional cell measures 9.8156, 4.3782 and 6.9626 Å, with angles of 90.00, 130.24 and 90.00 degrees. The inequivalent atoms are Y at (0.0477, 0.0000, 0.2982), Zn at (0.1707, 0.5000, 0.1105) and Cu at (0.1588, 0.5000, 0.7057).

The calculation puts the total moment at 0.0000 μB/atom. Its theoretical density is 6.34 g cm⁻³. The value obtained for the formation energy is -0.330 eV per atom. As for the volume: 19.034 Å³/atom.